Record 1
NaPa3Se6 | PBE | optimized geometry

Lattice parameters (Å, degrees): 7.1702 8.7490 8.7490 102.11 90.00 90.00
With the nearest neighbours (Å) after each atom.
Fractional positions:
1 Na 0.9918 0.1791 0.8209  5 Se 2.79-3.10
2 Na 0.4918 0.8209 0.1791  5 Se 2.79-3.10
3 Pa 0.4836 0.9252 0.7201  7 Se 2.86-3.05
4 Pa 0.9836 0.7201 0.9252  7 Se 2.86-3.05
5 Pa 0.3730 0.4044 0.5956  7 Se 2.87-2.96
6 Pa 0.8730 0.5956 0.4044  7 Se 2.87-2.96
7 Pa 0.9836 0.0748 0.2799  7 Se 2.86-3.05
8 Pa 0.4836 0.2799 0.0748  7 Se 2.86-3.05
9 Se 0.1739 0.7060 0.6270  4 Pa 2.92-2.96
10 Se 0.6739 0.6270 0.7060  4 Pa 2.92-2.96
11 Se 0.2244 0.4550 0.9093  3 Pa 2.87-2.97, 1 Na 2.90
12 Se 0.7244 0.9093 0.4550  3 Pa 2.87-2.97, 1 Na 2.90
13 Se 0.2381 0.0056 0.9944  4 Pa 2.94-3.05, 2 Na 2.95-3.10
14 Se 0.6188 0.2383 0.7617  1 Na 2.79, 3 Pa 2.86-2.87
15 Se 0.1188 0.7617 0.2383  1 Na 2.79, 3 Pa 2.86-2.87
16 Se 0.7381 0.9944 0.0056  4 Pa 2.94-3.05, 2 Na 2.95-3.10
17 Se 0.2244 0.0907 0.5450  3 Pa 2.87-2.97, 1 Na 2.90
18 Se 0.7244 0.5450 0.0907  3 Pa 2.87-2.97, 1 Na 2.90
19 Se 0.1739 0.3730 0.2940  4 Pa 2.92-2.96
20 Se 0.6739 0.2940 0.3730  4 Pa 2.92-2.96

Values from the calculation:
Polymorph energy (0 for the lowest one)   0.000 eV/atom
SG   Cmc2_1, No. 36

---

Record 2
Na5PaSe4 | PBE | optimized geometry

Lattice parameters (Å, degrees): 4.2650 8.3064 9.2391 102.75 103.35 90.00
With the nearest neighbours (Å) after each atom.
Fractional positions:
1 Na 0.8325 0.6719 0.6650  3 Se 2.88-3.00
2 Na 0.8266 0.1345 0.6531  4 Se 2.89-2.98
3 Na 0.1734 0.8655 0.3469  4 Se 2.89-2.98
4 Na 0.5000 0.5000 0.0000  4 Se 3.02
5 Na 0.1675 0.3281 0.3350  3 Se 2.88-3.00
6 Pa 0.5000 0.0000 0.0000  6 Se 2.81-2.94
7 Se 0.3394 0.9071 0.6789  1 Pa 2.81, 5 Na 2.88-2.93
8 Se 0.0039 0.7586 0.0078  2 Pa 2.94, 4 Na 2.98-3.02
9 Se 0.6606 0.0929 0.3211  1 Pa 2.81, 5 Na 2.88-2.93
10 Se 0.9961 0.2414 0.9922  2 Pa 2.94, 4 Na 2.98-3.02

Values from the calculation:
SG   C2/m, No. 12

---

Record 3
NaPa2Se5 | PBE | optimized geometry

Lattice parameters (Å, degrees): 5.6257 7.3727 13.8115 90.00 90.00 112.43
With the nearest neighbours (Å) after each atom.
Fractional positions:
1 Na 0.2223 0.4445 0.2500  6 Se 2.98-3.18
2 Na 0.7778 0.5555 0.7500  6 Se 2.98-3.18
3 Pa 0.1429 0.2859 0.9449  6 Se 2.73-2.89
4 Pa 0.1429 0.2859 0.5551  6 Se 2.73-2.89
5 Pa 0.8571 0.7141 0.4449  6 Se 2.73-2.89
6 Pa 0.8571 0.7141 0.0551  6 Se 2.73-2.89
7 Se 0.3293 0.6586 0.4550  3 Pa 2.84-2.89
8 Se 0.3293 0.6586 0.0450  3 Pa 2.84-2.89
9 Se 0.0466 0.0932 0.3800  2 Pa 2.73-2.75, 1 Na 2.99
10 Se 0.0466 0.0932 0.1200  2 Pa 2.73-2.75, 1 Na 2.99
11 Se 0.2056 0.4112 0.7500  2 Pa 2.82, 2 Na 2.98
12 Se 0.7944 0.5888 0.2500  2 Pa 2.82, 2 Na 2.98
13 Se 0.9534 0.9068 0.8800  2 Pa 2.73-2.75, 1 Na 2.99
14 Se 0.9534 0.9068 0.6200  2 Pa 2.73-2.75, 1 Na 2.99
15 Se 0.6707 0.3414 0.5450  3 Pa 2.84-2.89
16 Se 0.6707 0.3414 0.9550  3 Pa 2.84-2.89

Values from the calculation:
SG   Cmcm, No. 63

---

Record 4
Na4PaSe4 | PBE | optimized geometry

Lattice parameters (Å, degrees): 7.1672 7.1672 8.0700 116.36 116.36 90.00
With the nearest neighbours (Å) after each atom.
Fractional positions:
1 Na 0.5000 0.0000 0.0000  4 Se 2.97
2 Na 0.0000 0.5000 0.0000  4 Se 2.97
3 Na 0.2944 0.2944 0.5888  4 Se 3.02-3.12
4 Na 0.7056 0.7056 0.4112  4 Se 3.02-3.12
5 Pa 0.0000 0.0000 0.0000  4 Se 2.71
6 Se 0.6579 0.6579 0.7575  1 Pa 2.71, 3 Na 2.97-3.02
7 Se 0.3421 0.9004 0.2425  1 Pa 2.71, 3 Na 2.97-3.02
8 Se 0.0996 0.0996 0.7575  1 Pa 2.71, 3 Na 2.97-3.02
9 Se 0.9004 0.3421 0.2425  1 Pa 2.71, 3 Na 2.97-3.02

Values from the calculation:
SG   I-42m, No. 121

---

Record 5
NaPa5Se6 | PBE | optimized geometry

Lattice parameters (Å, degrees): 7.0921 7.0171 7.0271 60.05 80.55 70.79
With the nearest neighbours (Å) after each atom.
Fractional positions:
1 Na 0.0000 0.0000 0.0000  6 Se 2.83
2 Pa 0.5000 0.1668 0.6665  6 Se 2.88-2.92
3 Pa 0.0000 0.3330 0.3341  6 Se 2.87-2.88
4 Pa 0.5000 0.5000 0.0000  6 Se 2.88-2.92
5 Pa 0.0000 0.6670 0.6659  6 Se 2.87-2.88
6 Pa 0.5000 0.8332 0.3335  6 Se 2.88-2.92
7 Se 0.7544 0.0819 0.3284  1 Na 2.83, 5 Pa 2.87-2.92
8 Se 0.2456 0.5897 0.3284  1 Na 2.83, 5 Pa 2.87-2.92
9 Se 0.2460 0.2468 0.0000  1 Na 2.83, 5 Pa 2.88-2.92
10 Se 0.7540 0.7532 0.0000  1 Na 2.83, 5 Pa 2.88-2.92
11 Se 0.7544 0.4103 0.6716  1 Na 2.83, 5 Pa 2.87-2.92
12 Se 0.2456 0.9181 0.6716  1 Na 2.83, 5 Pa 2.87-2.92

Values from the calculation:
SG   C2/m, No. 12

---

Record 6
Na2Pa2Se5 | PBE | optimized geometry

Lattice parameters (Å, degrees): 7.7311 7.1725 10.2695 110.44 112.11 90.00
With the nearest neighbours (Å) after each atom.
Fractional positions:
1 Na 0.5767 0.1076 0.2400  5 Se 2.75-3.03
2 Na 0.3367 0.8924 0.7600  5 Se 2.75-3.03
3 Na 0.0767 0.6324 0.2400  5 Se 2.75-3.03
4 Na 0.8367 0.3676 0.7600  5 Se 2.75-3.03
5 Pa 0.0502 0.0000 0.0000  6 Se 2.80-2.94
6 Pa 0.5502 0.5000 0.0000  6 Se 2.80-2.94
7 Pa 0.1053 0.2841 0.5000  4 Se 2.81-2.90
8 Pa 0.6053 0.7159 0.5000  4 Se 2.81-2.90
9 Se 0.2149 0.2392 0.8948  2 Na 2.75-3.03, 2 Pa 2.80-2.84
10 Se 0.3201 0.7608 0.1052  2 Na 2.75-3.03, 2 Pa 2.80-2.84
11 Se 0.7149 0.1555 0.8948  2 Na 2.75-3.03, 2 Pa 2.80-2.84
12 Se 0.8201 0.8445 0.1052  2 Na 2.75-3.03, 2 Pa 2.80-2.84
13 Se 0.2666 0.3217 0.2958  2 Na 2.78-2.98, 2 Pa 2.90-2.94
14 Se 0.9708 0.6783 0.7042  2 Na 2.78-2.98, 2 Pa 2.90-2.94
15 Se 0.7666 0.4741 0.2958  2 Na 2.78-2.98, 2 Pa 2.90-2.94
16 Se 0.4708 0.5259 0.7042  2 Na 2.78-2.98, 2 Pa 2.90-2.94
17 Se 0.8226 0.0369 0.5000  2 Pa 2.81-2.85, 2 Na 2.85
18 Se 0.3226 0.9631 0.5000  2 Pa 2.81-2.85, 2 Na 2.85

Values from the calculation:
Polymorph energy (0 for the lowest one)   0.093 eV/atom
SG   Ima2, No. 46

---

no.,formation energy from raw total energies (eV per atom),Fermi-level density of states (states/eV per atom),size of the total moment (μB per cell)
1,-1.300,1.5812,7.64
2,-1.042,0.6803,0.98
3,-1.288,0.5989,2.23
4,-1.051,0.0590,1.00
5,-1.212,1.5590,1.56
6,-1.136,1.3570,4.01